A geometry-optimized InAg2 structure, computed with GGA-PBE.

Properties
For the size of the total moment, the calculation gives 0.0000 μB/atom.

a = 6.016 Å, b = 4.364 Å, c = 8.957 Å
α = 90.00°, β = 90.00°, γ = 90.00°
Fractional coordinates of all 12 atoms:
In 0.141 0.250 0.093
In 0.359 0.750 0.593
In 0.641 0.250 0.407
In 0.859 0.750 0.907
Ag 0.116 0.250 0.756
Ag 0.131 0.250 0.422
Ag 0.369 0.750 0.922
Ag 0.384 0.750 0.256
Ag 0.616 0.250 0.744
Ag 0.631 0.250 0.078
Ag 0.869 0.750 0.578
Ag 0.884 0.750 0.244

A geometry-optimized Ca2Pd3PtAu12 structure, computed with GGA-PBE.

Properties
For the size of the total moment, the calculation gives 0.0000 μB/atom.

a = 9.887 Å, b = 9.887 Å, c = 9.887 Å
α = 42.31°, β = 42.31°, γ = 42.31°
Fractional coordinates of all 18 atoms:
Ca 0.148 0.148 0.148
Ca 0.852 0.852 0.852
Pd 0.000 0.500 0.500
Pd 0.500 0.000 0.500
Pd 0.500 0.500 0.000
Pt 0.500 0.500 0.500
Au 0.079 0.079 0.694
Au 0.079 0.694 0.079
Au 0.110 0.602 0.602
Au 0.306 0.921 0.921
Au 0.398 0.398 0.890
Au 0.398 0.890 0.398
Au 0.602 0.110 0.602
Au 0.602 0.602 0.110
Au 0.694 0.079 0.079
Au 0.890 0.398 0.398
Au 0.921 0.306 0.921
Au 0.921 0.921 0.306

A geometry-optimized Dy3YTh4As8 structure, computed with GGA-PBE.

Properties
For the size of the total moment, the calculation gives 0.0000 μB/atom.

a = 8.350 Å, b = 8.350 Å, c = 8.350 Å
α = 60.42°, β = 60.42°, γ = 60.42°
Fractional coordinates of all 16 atoms:
Dy 0.000 0.500 0.500
Dy 0.500 0.000 0.500
Dy 0.500 0.500 0.000
Y 0.000 0.000 0.000
Th 0.000 0.000 0.500
Th 0.000 0.500 0.000
Th 0.500 0.000 0.000
Th 0.500 0.500 0.500
As 0.248 0.248 0.747
As 0.248 0.747 0.248
As 0.253 0.253 0.253
As 0.253 0.752 0.752
As 0.747 0.248 0.248
As 0.747 0.747 0.747
As 0.752 0.253 0.752
As 0.752 0.752 0.253

Number 1: final energy -2.825 eV/atom. Number 2: final energy -3.608 eV/atom. Number 3: final energy -6.919 eV/atom.